Below is Co2SeF after structural relaxation, with properties calculated at the GGA+U level.

Cell lengths 6.0651, 6.0651, 6.9994 Å; angles 90.00, 90.00, 90.00 degrees
Space group I-42d (No. 122)
One atom of each set of equivalent atoms:
Co 0.2097 0.2500 0.1250
Se 0.0000 0.0000 0.5000
F 0.0000 0.0000 0.0000

Values from the calculation:
- distance to the lowest polymorph of the same formula (eV/f.u.) = 0.00
- magnetic moment (μB/atom) = 1.250